Entry 1:
SmHfAu | PBE-GGA | optimized geometry

```
SmHfAu
1.0
0.0000 3.3861 3.3861
3.3861 0.0000 3.3861
3.3861 3.3861 0.0000
Au Hf Sm
1 1 1
direct
0.2500 0.2500 0.2500
0.7500 0.7500 0.7500
0.0000 0.0000 0.0000
```

Calculated values
The energy of formation is 0.6685 eV/atom. The space group is F-43m (216).

Entry 2:
SmHfSn2Au2 | PBE-GGA | optimized geometry

```
SmHfSn2Au2
1.0
4.6787 0.0000 0.0000
-2.3394 4.0519 0.0000
0.0000 0.0000 7.1933
Au Sn Sm Hf
2 2 1 1
direct
0.6667 0.3333 0.4264
0.3333 0.6667 0.0762
0.6667 0.3333 0.9926
0.3333 0.6667 0.5058
0.0000 0.0000 0.7496
0.0000 0.0000 0.2494
```

Calculated values
The space group is P3m1 (156).

Raw total energy for the records above, in order: -5.3091; -5.4296 eV per atom